The following is a PBE with a Hubbard U calculation of an optimized crystal structure of NdHg2MoO6, from Alexandria via LeMat-Bulk.

Unit cell a=5.772 b=5.777 c=6.027 alpha=61.41 beta=62.65 gamma=60.58
Space group P-1 (No. 2)
Asymmetric unit:
Nd 0.000 0.000 0.000 (multiplicity 1)
Hg 0.246 0.235 0.259 (multiplicity 2)
Mo 0.500 0.500 0.500 (multiplicity 1)
O 0.160 0.728 0.728 (multiplicity 2)
O 0.288 0.607 0.268 (multiplicity 2)
O 0.385 0.156 0.734 (multiplicity 2)

E_tot, eV per formula unit: -57.12